Density functional theory data (GGA-PBE) for a relaxed structure of ZrZnCu2.

Unit cell a=3.0519 b=3.0519 c=6.5448 alpha=90.00 beta=90.00 gamma=90.00
Atoms (fractional coordinates):
Cu  0.0000  0.0000  0.0362
Cu  0.0000  0.0000  0.4638
Zn  0.5000  0.5000  0.2500
Zr  0.5000  0.5000  0.7500

=====

Density functional theory data (GGA-PBE) for a relaxed structure of Zr3Zn8Cu.

Unit cell a=5.1777 b=5.1777 c=8.9523 alpha=73.19 beta=73.19 gamma=60.00
Each line ends with the local moment (μB).
Atoms (fractional coordinates):
Zr  0.4976  0.4976  0.5071  0.04
Zr  0.0041  0.0041  0.9877  0.35
Zr  0.6241  0.6241  0.1276  0.36
Zn  0.0633  0.5620  0.8127  0.01
Zn  0.5620  0.0633  0.8127  0.01
Zn  0.3120  0.3120  0.0639  0.00
Zn  0.5620  0.5620  0.8127  0.01
Zn  0.5637  0.0614  0.3135  0.01
Zn  0.0614  0.0614  0.3135  0.01
Zn  0.0614  0.5637  0.3135  0.01
Zn  0.8127  0.8127  0.5620  0.01
Cu  0.1256  0.1256  0.6231  0.00

=====

Density functional theory data (GGA-PBE) for a relaxed structure of Zr3Zn2Cu4.

energy above the lowest structure with this stoichiometry	0.0	kJ/mol of formula units

Unit cell a=5.6350 b=7.6723 c=7.6723 alpha=59.91 beta=90.00 gamma=90.00
Atoms (fractional coordinates):
Zn  0.4999  0.8312  0.5034
Zn  0.0001  0.4966  0.1688
Zn  0.5001  0.1688  0.4966
Zn  0.9999  0.5034  0.8312
Cu  0.0001  0.8311  0.1693
Cu  0.5000  0.4987  0.1657
Cu  0.0000  0.8343  0.5013
Cu  0.9999  0.1689  0.8307
Cu  0.5000  0.5013  0.8343
Cu  0.0000  0.1657  0.4987
Cu  0.5001  0.1693  0.8311
Cu  0.4999  0.8307  0.1689
Zr  0.7500  0.5000  0.5000
Zr  0.2500  0.1610  0.1610
Zr  0.2500  0.8390  0.8390
Zr  0.7500  0.1610  0.1610
Zr  0.7500  0.8390  0.8390
Zr  0.2500  0.5000  0.5000

=====

Density functional theory data (GGA-PBE) for a relaxed structure of ZrZn2Cu.

Unit cell a=5.2370 b=5.2370 c=2.6664 alpha=90.00 beta=90.00 gamma=114.01
Atoms (fractional coordinates):
Zn  0.5000  0.5000  0.0000
Zn  0.0000  0.0000  0.0000
Zr  0.5000  0.0000  0.5000
Cu  0.0000  0.5000  0.5000

=====

Density functional theory data (GGA-PBE) for a relaxed structure of ZrZn2Cu.

Unit cell a=9.5330 b=9.5330 c=9.5330 alpha=17.18 beta=17.18 gamma=17.18
Atoms (fractional coordinates):
Cu  0.7442  0.7442  0.7442
Zn  0.0048  0.0048  0.0048
Zn  0.2538  0.2538  0.2538
Zr  0.4971  0.4971  0.4971

=====

Density functional theory data (GGA-PBE) for a relaxed structure of ZrZnCu2.

Unit cell a=4.4130 b=4.4132 c=4.4131 alpha=120.32 beta=120.32 gamma=89.44
Atoms (fractional coordinates):
Cu  0.0000  0.0000  0.0000
Cu  0.2500  0.7500  0.5000
Zn  0.5000  0.5000  0.0000
Zr  0.7500  0.2500  0.5000

=====

Density functional theory data (GGA-PBE) for a relaxed structure of ZrZn2Cu3.

Unit cell a=4.1923 b=4.1923 c=11.6247 alpha=90.00 beta=90.00 gamma=120.00
Atoms (fractional coordinates):
Cu  0.0000  0.0000  0.5000
Cu  0.0000  0.0000  0.0000
Cu  0.3333  0.6667  0.1370
Cu  0.6667  0.3333  0.8630
Cu  0.3333  0.6667  0.3630
Cu  0.6667  0.3333  0.6370
Zr  0.0000  0.0000  0.2500
Zr  0.0000  0.0000  0.7500
Zn  0.3333  0.6667  0.9159
Zn  0.3333  0.6667  0.5841
Zn  0.6667  0.3333  0.4159
Zn  0.6667  0.3333  0.0841

=====

Density functional theory data (GGA-PBE) for a relaxed structure of ZrZnCu2.

Unit cell a=4.1091 b=2.7537 c=5.6307 alpha=76.03 beta=90.00 gamma=90.00
Atoms (fractional coordinates):
Zn  0.0000  0.4666  0.4433
Zr  0.5000  0.7952  0.7761
Cu  0.0000  0.1758  0.0144
Cu  0.5000  0.0624  0.2662

=====

Across the entries above, total energy takes the values -4.609; -3.510; -5.155; -3.756; -3.726; -4.656; -4.046; -4.563 eV/atom, respectively.
Across the entries above, energy of formation takes the values -105; -182; -202; 42; 72; -152; -149; -59 meV/atom, respectively.